# 1
Crystalline CsIn2B at its relaxed geometry, computed with PBE.

Cell lengths 7.350, 7.350, 10.343 Å; angles 90.00, 90.00, 90.00 degrees
Space group I-42d (No. 122)
Symmetry-distinct sites (fractional):
Cs: 0.000 0.000 0.000
In: 0.001 0.750 0.625
B: 0.000 0.000 0.500

Summary:
The formation energy from the elements is 0.497 eV/atom. As for the crystal system: tetragonal.



# 2
Crystalline CsInB2 at its relaxed geometry, computed with PBE.

Cell lengths 5.265, 5.265, 15.118 Å; angles 90.00, 90.00, 90.00 degrees
Space group I4_1/amd (No. 141, origin choice 2)
Symmetry-distinct sites (fractional):
Cs: 0.000 0.250 0.375
In: 0.000 0.250 0.875
B: 0.000 0.000 0.000

Summary:
The formation energy from the elements is 1.333 eV/atom. As for the crystal system: tetragonal.



# 3
Crystalline Cs2InBN at its relaxed geometry, computed with PBE.

Cell lengths 6.649, 6.649, 4.168 Å; angles 90.00, 90.00, 90.00 degrees
Space group P4/mmm (No. 123)
Symmetry-distinct sites (fractional):
Cs: 0.000 0.500 0.000
In: 0.000 0.000 0.500
B: 0.500 0.500 0.500
N: 0.000 0.000 0.000

Summary:
As for the crystal system: tetragonal. The formation energy from raw total energies is 1.080 eV per atom.



# 4
Crystalline CsIn2ReB at its relaxed geometry, computed with PBE.

Cell lengths 5.283, 5.283, 5.894 Å; angles 90.00, 90.00, 90.00 degrees
Space group P4/mmm (No. 123)
Symmetry-distinct sites (fractional):
Cs: 0.000 0.000 0.000
In: 0.000 0.500 0.500
Re: 0.000 0.000 0.500
B: 0.500 0.500 0.000

Summary:
The formation energy from the elements is 1.724 eV/atom. As for the crystal system: tetragonal.



# 5
Crystalline CsIn2BS at its relaxed geometry, computed with PBE.

Cell lengths 4.794, 4.794, 5.847 Å; angles 90.00, 90.00, 90.00 degrees
Space group P4/mmm (No. 123)
Symmetry-distinct sites (fractional):
Cs: 0.000 0.000 0.000
In: 0.000 0.500 0.500
B: 0.000 0.000 0.500
S: 0.500 0.500 0.000

Summary:
As for the crystal system: tetragonal. The formation energy from raw total energies is 0.444 eV per atom.



# 6
Crystalline CsB2Ir2 at its relaxed geometry, computed with PBE.

Cell lengths 3.996, 3.996, 13.252 Å; angles 90.00, 90.00, 90.00 degrees
Space group I4/mmm (No. 139)
Symmetry-distinct sites (fractional):
Cs: 0.000 0.000 0.000
B: 0.000 0.000 0.299
Ir: 0.000 0.500 0.250

Summary:
The formation energy from the elements is -0.213 eV/atom. As for the crystal system: tetragonal.



# 7
Crystalline CsBIr at its relaxed geometry, computed with PBE.

Cell lengths 3.999, 3.999, 11.731 Å; angles 90.00, 90.00, 90.00 degrees
Space group P4/nmm (No. 129, origin choice 2)
Symmetry-distinct sites (fractional):
Cs: 0.250 0.250 0.234
B: 0.250 0.250 0.560
Ir: 0.250 0.750 0.500

Summary:
The formation energy from the elements is -0.144 eV/atom. As for the crystal system: tetragonal.



# 8
Crystalline CsB2Ir at its relaxed geometry, computed with PBE.

Cell lengths 6.458, 6.458, 6.458 Å; angles 90.00, 90.00, 90.00 degrees
Space group Fm-3m (No. 225)
Symmetry-distinct sites (fractional):
Cs: 0.000 0.000 0.000
B: 0.250 0.250 0.250
Ir: 0.000 0.000 0.500

Summary:
For the energy relative to the lowest polymorph listed for this composition, the calculation gives 2.236 eV/atom. The formation energy from the elements is 2.357 eV/atom. As for the crystal system: cubic.



# 9
Crystalline Cs3BIr at its relaxed geometry, computed with PBE.

Cell lengths 6.229, 6.229, 6.229 Å; angles 90.00, 90.00, 90.00 degrees
Space group Pm-3m (No. 221)
Symmetry-distinct sites (fractional):
Cs: 0.000 0.000 0.500
B: 0.500 0.500 0.500
Ir: 0.000 0.000 0.000

Summary:
The formation energy from the elements is 1.468 eV/atom. As for the crystal system: cubic.



# 10
Crystalline Cs2B4Ir at its relaxed geometry, computed with PBE.

Cell lengths 4.192, 4.192, 17.822 Å; angles 90.00, 90.00, 90.00 degrees
Space group I4/mmm (No. 139)
Symmetry-distinct sites (fractional):
Cs: 0.000 0.000 0.159
B: 0.000 0.000 0.383
B: 0.000 0.500 0.000
Ir: 0.000 0.000 0.500

Summary:
The formation energy from the elements is 0.995 eV/atom. As for the crystal system: tetragonal.



# 11
Crystalline CsB2Ir at its relaxed geometry, computed with PBE.

Cell lengths 9.128, 9.128, 9.128 Å; angles 90.00, 90.00, 90.00 degrees
Space group Fd-3m (No. 227, origin choice 2)
Symmetry-distinct sites (fractional):
Cs: 0.125 0.125 0.125
B: 0.000 0.000 0.500
Ir: 0.125 0.125 0.625

Summary:
For the energy relative to the lowest polymorph listed for this composition, the calculation gives 0.000 eV/atom. The formation energy from the elements is 0.122 eV/atom. As for the crystal system: cubic.



# 12
Crystalline CsBIr2 at its relaxed geometry, computed with PBE.

Cell lengths 6.143, 6.143, 9.931 Å; angles 90.00, 90.00, 90.00 degrees
Space group I-42d (No. 122)
Symmetry-distinct sites (fractional):
Cs: 0.000 0.000 0.000
B: 0.000 0.000 0.500
Ir: 0.034 0.250 0.625

Summary:
The formation energy from the elements is 0.746 eV/atom. As for the crystal system: tetragonal.



# 13
Crystalline CsB2MoIr at its relaxed geometry, computed with PBE.

Cell lengths 4.528, 4.528, 4.903 Å; angles 90.00, 90.00, 90.00 degrees
Space group P4/mmm (No. 123)
Symmetry-distinct sites (fractional):
Cs: 0.000 0.000 0.000
B: 0.000 0.500 0.500
Mo: 0.500 0.500 0.500
Ir: 0.500 0.500 0.000

Summary:
The formation energy from the elements is 1.449 eV/atom. As for the crystal system: tetragonal.



# 14
Crystalline CsRbB2Ir at its relaxed geometry, computed with PBE.

Cell lengths 5.377, 5.377, 5.277 Å; angles 90.00, 90.00, 90.00 degrees
Space group P4/mmm (No. 123)
Symmetry-distinct sites (fractional):
Cs: 0.000 0.000 0.000
Rb: 0.500 0.500 0.500
B: 0.000 0.500 0.000
Ir: 0.000 0.000 0.500

Summary:
The formation energy from the elements is 2.714 eV/atom. As for the crystal system: tetragonal.



# 15
Crystalline CsBIrSe2 at its relaxed geometry, computed with PBE.

Cell lengths 5.864, 5.864, 5.075 Å; angles 90.00, 90.00, 90.00 degrees
Space group P4/mmm (No. 123)
Symmetry-distinct sites (fractional):
Cs: 0.000 0.000 0.000
B: 0.000 0.000 0.500
Ir: 0.500 0.500 0.500
Se: 0.000 0.500 0.000

Summary:
As for the crystal system: tetragonal. The formation energy from raw total energies is 2.770 eV per atom.



# 16
Crystalline CsTiB2Ir at its relaxed geometry, computed with PBE.

Cell lengths 4.323, 4.323, 5.150 Å; angles 90.00, 90.00, 90.00 degrees
Space group P4/mmm (No. 123)
Symmetry-distinct sites (fractional):
Cs: 0.000 0.000 0.000
Ti: 0.000 0.000 0.500
B: 0.000 0.500 0.000
Ir: 0.500 0.500 0.500

Summary:
The formation energy from the elements is 3.351 eV/atom. As for the crystal system: tetragonal.



# 17
Crystalline CsY2BIr at its relaxed geometry, computed with PBE.

Cell lengths 5.086, 5.086, 4.975 Å; angles 90.00, 90.00, 90.00 degrees
Space group P4/mmm (No. 123)
Symmetry-distinct sites (fractional):
Cs: 0.000 0.000 0.000
Y: 0.000 0.500 0.500
B: 0.000 0.000 0.500
Ir: 0.500 0.500 0.000

Summary:
The formation energy from the elements is 0.867 eV/atom. As for the crystal system: tetragonal.



# 18
Crystalline Cs2ZnBIr at its relaxed geometry, computed with PBE.

Cell lengths 6.710, 6.710, 4.044 Å; angles 90.00, 90.00, 90.00 degrees
Space group P4/mmm (No. 123)
Symmetry-distinct sites (fractional):
Cs: 0.000 0.500 0.000
Zn: 0.000 0.000 0.500
B: 0.500 0.500 0.500
Ir: 0.500 0.500 0.000

Summary:
The formation energy from the elements is 0.570 eV/atom. As for the crystal system: tetragonal.



# 19
Crystalline CsKB3 at its relaxed geometry, computed with PBE.

Cell lengths 5.326, 5.326, 5.326 Å; angles 90.00, 90.00, 90.00 degrees
Space group Pm-3m (No. 221)
Symmetry-distinct sites (fractional):
Cs: 0.000 0.000 0.000
K: 0.500 0.500 0.500
B: 0.000 0.000 0.500

Summary:
For the energy relative to the lowest polymorph listed for this composition, the calculation gives 0.069 eV/atom. The formation energy from the elements is 2.833 eV/atom. As for the crystal system: cubic.



# 20
Crystalline Cs2KB at its relaxed geometry, computed with PBE.

Cell lengths 9.919, 9.919, 14.023 Å; angles 90.00, 90.00, 90.00 degrees
Space group I-42d (No. 122)
Symmetry-distinct sites (fractional):
Cs: 0.008 0.250 0.125
K: 0.000 0.000 0.500
B: 0.000 0.000 0.000

Summary:
The formation energy from the elements is 1.087 eV/atom. As for the crystal system: tetragonal.



# 21
Crystalline CsKB3 at its relaxed geometry, computed with PBE.

Cell lengths 5.600, 5.600, 5.600 Å; angles 90.00, 90.00, 90.00 degrees
Space group Pm-3m (No. 221)
Symmetry-distinct sites (fractional):
Cs: 0.000 0.000 0.000
K: 0.500 0.500 0.500
B: 0.000 0.500 0.500

Summary:
For the energy relative to the lowest polymorph listed for this composition, the calculation gives 0.000 eV/atom. The formation energy from the elements is 2.765 eV/atom. As for the crystal system: cubic.



# 22
Crystalline CsKBO2 at its relaxed geometry, computed with PBE.

Cell lengths 8.346, 5.864, 8.366 Å; angles 90.00, 118.20, 90.00 degrees
Space group P2/c (No. 13)
Symmetry-distinct sites (fractional):
Cs: 0.000 0.196 0.250
K: 0.500 0.497 0.750
B: 0.500 0.000 0.000
O: 0.429 0.198 0.464

Summary:
As for the crystal system: monoclinic. The formation energy from raw total energies is -1.698 eV per atom.



# 23
Crystalline CsKBS2 at its relaxed geometry, computed with PBE.

Cell lengths 10.168, 5.047, 9.892 Å; angles 90.00, 116.01, 90.00 degrees
Space group P2/c (No. 13)
Symmetry-distinct sites (fractional):
Cs: 0.000 0.208 0.250
K: 0.500 0.398 0.750
B: 0.500 0.000 0.000
S: 0.347 0.159 0.980

Summary:
As for the crystal system: monoclinic. The formation energy from raw total energies is -0.593 eV per atom.



# 24
Crystalline Cs3KB2S6 at its relaxed geometry, computed with PBE.

Cell lengths 7.4384, 7.4384, 9.4233 Å; angles 90.00, 90.00, 120.00 degrees
Space group P-3m1 (No. 164)
Symmetry-distinct sites (fractional):
Cs: 0.0000 0.0000 0.0000
Cs: 0.3333 0.6667 0.6516
K: 0.0000 0.0000 0.5000
B: 0.3333 0.6667 0.2777
S: 0.1936 0.3872 0.2809

Summary:
As for the crystal system: trigonal. The formation energy from raw total energies is -0.828 eV per atom.



# 25
Crystalline CsKB2S at its relaxed geometry, computed with PBE.

Cell lengths 5.570, 5.570, 5.805 Å; angles 90.00, 90.00, 90.00 degrees
Space group P4/mmm (No. 123)
Symmetry-distinct sites (fractional):
Cs: 0.000 0.000 0.000
K: 0.500 0.500 0.500
B: 0.000 0.500 0.500
S: 0.500 0.500 0.000

Summary:
As for the crystal system: tetragonal. The formation energy from raw total energies is 1.747 eV per atom.



# 26
Crystalline Cs2LaB at its relaxed geometry, computed with PBE.

Cell lengths 8.026, 8.026, 8.026 Å; angles 90.00, 90.00, 90.00 degrees
Space group Fm-3m (No. 225)
Symmetry-distinct sites (fractional):
Cs: 0.250 0.250 0.250
La: 0.000 0.000 0.000
B: 0.000 0.000 0.500

Summary:
The formation energy from the elements is 1.517 eV/atom. As for the crystal system: cubic.



# 27
Crystalline CsLa3B at its relaxed geometry, computed with PBE.

Cell lengths 5.821, 5.821, 5.821 Å; angles 90.00, 90.00, 90.00 degrees
Space group Pm-3m (No. 221)
Symmetry-distinct sites (fractional):
Cs: 0.000 0.000 0.000
La: 0.000 0.000 0.500
B: 0.500 0.500 0.500

Summary:
For the energy relative to the lowest polymorph listed for this composition, the calculation gives 1.471 eV/atom. The formation energy from the elements is 1.858 eV/atom. As for the crystal system: cubic.



| no. | DOS at the Fermi energy (states/eV/f.u.) |
| --- | --- |
| 1 | 2.29 |
| 2 | 3.03 |
| 3 | 4.42 |
| 4 | 4.95 |
| 5 | 2.03 |
| 6 | 0.48 |
| 7 | 2.17 |
| 8 | 2.06 |
| 9 | 9.82 |
| 10 | 3.09 |
| 11 | 2.50 |
| 12 | 2.87 |
| 13 | 4.21 |
| 14 | 4.91 |
| 15 | 5.64 |
| 16 | 6.37 |
| 17 | 5.09 |
| 18 | 5.43 |
| 19 | 5.16 |
| 20 | 2.53 |
| 21 | 6.40 |
| 22 | 1.02 |
| 23 | 2.51 |
| 24 | 0.57 |
| 25 | 1.40 |
| 26 | 2.67 |
| 27 | 6.43 |